[1]
This record from the Alexandria database describes a relaxed structure of La2VFeRh. The functional is PBE-GGA.

a b c (Å): 5.5513 5.5513 4.4478
angles (deg): 90.00 90.00 90.00
Element x y z (fractional)
La (0.0000, 0.5000, 0.0000)
La (0.5000, 0.0000, 0.0000)
V (0.0000, 0.0000, 0.5000)
Fe (0.5000, 0.5000, 0.5000)
Rh (0.5000, 0.5000, 0.0000)

---

[2]
This record from the Alexandria database describes a relaxed structure of LaFe2Ru. The functional is PBE-GGA.

a b c (Å): 3.1764 3.1764 6.9634
angles (deg): 90.00 90.00 90.00
Element x y z (fractional)
La (0.0000, 0.0000, 0.0000)
Fe (0.5000, 0.5000, 0.3262)
Fe (0.5000, 0.5000, 0.6738)
Ru (0.0000, 0.0000, 0.5000)

---

[3]
This record from the Alexandria database describes a relaxed structure of LaFe2Ru. The functional is PBE-GGA.

a b c (Å): 2.9367 2.9367 27.0399
angles (deg): 90.00 90.00 120.00
Element x y z (fractional)
La (0.0000, 0.0000, 0.0000)
La (0.3333, 0.6667, 0.6667)
La (0.6667, 0.3333, 0.3333)
Fe (0.0000, 0.0000, 0.2350)
Fe (0.0000, 0.0000, 0.5037)
Fe (0.3333, 0.6667, 0.1704)
Fe (0.3333, 0.6667, 0.9017)
Fe (0.6667, 0.3333, 0.5683)
Fe (0.6667, 0.3333, 0.8370)
Ru (0.0000, 0.0000, 0.7663)
Ru (0.3333, 0.6667, 0.4330)
Ru (0.6667, 0.3333, 0.0996)

---

[4]
This record from the Alexandria database describes a relaxed structure of LaFe3Ru. The functional is PBE-GGA.

## Properties
Energy relative to the lowest polymorph listed for this composition ... 0 meV/atom

a b c (Å): 4.6639 4.6639 4.6639
angles (deg): 90.00 90.00 90.00
Element x y z (fractional)
La (0.0000, 0.0000, 0.0000)
Fe (0.0000, 0.5000, 0.5000)
Fe (0.5000, 0.0000, 0.5000)
Fe (0.5000, 0.5000, 0.0000)
Ru (0.5000, 0.5000, 0.5000)

---

[5]
This record from the Alexandria database describes a relaxed structure of LaFeRu. The functional is PBE-GGA.

a b c (Å): 6.2938 6.2938 6.2938
angles (deg): 90.00 90.00 90.00
Element x y z (fractional)
La (0.0000, 0.0000, 0.0000)
La (0.0000, 0.5000, 0.5000)
La (0.5000, 0.0000, 0.5000)
La (0.5000, 0.5000, 0.0000)
Fe (0.2500, 0.2500, 0.7500)
Fe (0.2500, 0.7500, 0.2500)
Fe (0.7500, 0.2500, 0.2500)
Fe (0.7500, 0.7500, 0.7500)
Ru (0.2500, 0.2500, 0.2500)
Ru (0.2500, 0.7500, 0.7500)
Ru (0.7500, 0.2500, 0.7500)
Ru (0.7500, 0.7500, 0.2500)

---

[6]
This record from the Alexandria database describes a relaxed structure of LaFe2Ru. The functional is PBE-GGA.

a b c (Å): 2.9590 2.9590 27.5194
angles (deg): 90.00 90.00 120.00
Element x y z (fractional)
La (0.0000, 0.0000, 0.0000)
La (0.3333, 0.6667, 0.6667)
La (0.6667, 0.3333, 0.3333)
Fe (0.0000, 0.0000, 0.2353)
Fe (0.0000, 0.0000, 0.7647)
Fe (0.3333, 0.6667, 0.4314)
Fe (0.3333, 0.6667, 0.9019)
Fe (0.6667, 0.3333, 0.0981)
Fe (0.6667, 0.3333, 0.5686)
Ru (0.0000, 0.0000, 0.5000)
Ru (0.3333, 0.6667, 0.1667)
Ru (0.6667, 0.3333, 0.8333)

---

[7]
This record from the Alexandria database describes a relaxed structure of LaFeRu. The functional is PBE-GGA.

a b c (Å): 3.2735 3.2735 10.9349
angles (deg): 90.00 90.00 90.00
Element x y z (fractional)
La (0.0000, 0.0000, 0.0000)
La (0.5000, 0.5000, 0.5000)
Fe (0.0000, 0.0000, 0.2892)
Fe (0.5000, 0.5000, 0.7892)
Ru (0.0000, 0.0000, 0.7029)
Ru (0.5000, 0.5000, 0.2029)

---

[8]
This record from the Alexandria database describes a relaxed structure of La4FeRu. The functional is PBE-GGA.

a b c (Å): 6.1747 6.1747 6.1747
angles (deg): 60.00 60.00 60.00
Element x y z (fractional)
La (0.1245, 0.1245, 0.1245)
La (0.1245, 0.1245, 0.6265)
La (0.1245, 0.6265, 0.1245)
La (0.6265, 0.1245, 0.1245)
Fe (0.5000, 0.5000, 0.5000)
Ru (0.7500, 0.7500, 0.7500)

---

[9]
This record from the Alexandria database describes a relaxed structure of LaFe2Ru. The functional is PBE-GGA.

a b c (Å): 3.1058 3.1058 7.0881
angles (deg): 90.00 90.00 90.00
Element x y z (fractional)
La (0.0000, 0.0000, 0.0000)
Fe (0.0000, 0.0000, 0.5073)
Fe (0.5000, 0.5000, 0.6806)
Ru (0.5000, 0.5000, 0.3260)

---

[10]
This record from the Alexandria database describes a relaxed structure of LaFe2Ru. The functional is PBE-GGA.

a b c (Å): 4.5042 4.5042 3.2683
angles (deg): 90.00 90.00 90.00
Element x y z (fractional)
La (0.0000, 0.0000, 0.0000)
Fe (0.0000, 0.5000, 0.5000)
Fe (0.5000, 0.0000, 0.5000)
Ru (0.5000, 0.5000, 0.0000)

---

[11]
This record from the Alexandria database describes a relaxed structure of LaFe2Ru. The functional is PBE-GGA.

a b c (Å): 3.3831 4.4810 4.5288
angles (deg): 90.00 90.00 90.00
Element x y z (fractional)
La (0.0000, 0.0000, 0.0000)
Fe (0.0000, 0.5000, 0.5000)
Fe (0.5000, 0.0000, 0.5000)
Ru (0.5000, 0.5000, 0.0000)

---

[12]
This record from the Alexandria database describes a relaxed structure of LaFe2Ru. The functional is PBE-GGA.

a b c (Å): 4.1937 4.1937 15.4209
angles (deg): 90.00 90.00 120.00
Element x y z (fractional)
La (0.0000, 0.0000, 0.0000)
La (0.3333, 0.6667, 0.6667)
La (0.6667, 0.3333, 0.3333)
Fe (0.0000, 0.0000, 0.5048)
Fe (0.0000, 0.0000, 0.8059)
Fe (0.3333, 0.6667, 0.1715)
Fe (0.3333, 0.6667, 0.4725)
Fe (0.6667, 0.3333, 0.1392)
Fe (0.6667, 0.3333, 0.8382)
Ru (0.0000, 0.0000, 0.1872)
Ru (0.3333, 0.6667, 0.8538)
Ru (0.6667, 0.3333, 0.5205)

---

[13]
This record from the Alexandria database describes a relaxed structure of LaFe3Ru. The functional is PBE-GGA.

## Properties
Energy relative to the lowest polymorph listed for this composition ... 1248 meV/atom

a b c (Å): 4.4563 4.4563 4.4563
angles (deg): 90.00 90.00 90.00
Element x y z (fractional)
La (0.0000, 0.0000, 0.0000)
Fe (0.0000, 0.0000, 0.5000)
Fe (0.0000, 0.5000, 0.0000)
Fe (0.5000, 0.0000, 0.0000)
Ru (0.5000, 0.5000, 0.5000)

---

[14]
This record from the Alexandria database describes a relaxed structure of LaFeRu. The functional is PBE-GGA.

a b c (Å): 6.4011 6.4011 6.4011
angles (deg): 90.00 90.00 90.00
Element x y z (fractional)
La (0.0000, 0.0000, 0.0000)
La (0.0000, 0.5000, 0.5000)
La (0.5000, 0.0000, 0.5000)
La (0.5000, 0.5000, 0.0000)
Fe (0.0000, 0.0000, 0.5000)
Fe (0.0000, 0.5000, 0.0000)
Fe (0.5000, 0.0000, 0.0000)
Fe (0.5000, 0.5000, 0.5000)
Ru (0.2500, 0.2500, 0.2500)
Ru (0.2500, 0.7500, 0.7500)
Ru (0.7500, 0.2500, 0.7500)
Ru (0.7500, 0.7500, 0.2500)

---

[15]
This record from the Alexandria database describes a relaxed structure of LaFeRu. The functional is PBE-GGA.

a b c (Å): 4.0929 4.0929 4.3853
angles (deg): 90.00 90.00 120.00
Element x y z (fractional)
La (0.0000, 0.0000, 0.0000)
Fe (0.6667, 0.3333, 0.5148)
Ru (0.3333, 0.6667, 0.4775)

---

| no. | energy relative to the elements (eV/atom) | calculated density (g/cm³) |
| --- | --- | --- |
| 1 | 0.62 | 5.91 |
| 2 | 0.31 | 8.31 |
| 3 | 0.61 | 8.67 |
| 4 | 0.67 | 6.67 |
| 5 | 1.00 | 7.88 |
| 6 | 0.69 | 8.40 |
| 7 | 0.21 | 8.38 |
| 8 | 1.02 | 7.11 |
| 9 | 0.26 | 8.54 |
| 10 | 0.43 | 8.81 |
| 11 | 0.40 | 8.51 |
| 12 | 0.08 | 7.46 |
| 13 | 1.92 | 7.65 |
| 14 | 0.38 | 7.49 |
| 15 | 0.04 | 7.72 |